Computed, not measured: a relaxed ErZrHgPb crystal at the PBE-GGA level of DFT.

```
ErZrHgPb
1.0
7.321 0.000 0.000
0.000 7.321 0.000
0.000 0.000 7.321
Er Zr Hg Pb
4 4 4 4
Direct
0.000 0.000 0.000 Er
0.000 0.500 0.500 Er
0.500 0.000 0.500 Er
0.500 0.500 0.000 Er
0.000 0.000 0.500 Zr
0.000 0.500 0.000 Zr
0.500 0.000 0.000 Zr
0.500 0.500 0.500 Zr
0.250 0.250 0.750 Hg
0.250 0.750 0.250 Hg
0.750 0.250 0.250 Hg
0.750 0.750 0.750 Hg
0.250 0.250 0.250 Pb
0.250 0.750 0.750 Pb
0.750 0.250 0.750 Pb
0.750 0.750 0.250 Pb
```

## Properties
ΔH_f (0 K) in eV/atom: -0.20
Space group: F-43m, No. 216



Computed, not measured: a relaxed Ti2NiS4 crystal at the PBE-GGA level of DFT.

```
Ti2NiS4
1.0
12.728 0.000 0.000
0.000 3.398 0.000
-2.695 0.000 5.205
Ti Ni S
4 2 8
Direct
0.244 0.000 0.238 Ti
0.256 0.500 0.762 Ti
0.744 0.500 0.238 Ti
0.756 0.000 0.762 Ti
0.000 0.500 0.500 Ni
0.500 0.000 0.500 Ni
0.119 0.500 0.947 S
0.123 0.000 0.459 S
0.377 0.500 0.541 S
0.381 0.000 0.053 S
0.619 0.000 0.947 S
0.623 0.500 0.459 S
0.877 0.000 0.541 S
0.881 0.500 0.053 S
```

## Properties
Space group: C2/m, No. 12
ΔE_f (raw) in eV per formula unit: -8.0



Computed, not measured: a relaxed NaUGaO5 crystal at the PBE-GGA level of DFT.

```
NaUGaO5
1.0
3.582 -4.706 0.000
3.582 4.706 0.000
-3.417 0.000 7.210
Na U Ga O
2 2 2 10
Direct
0.168 0.832 0.750 Na
0.832 0.168 0.250 Na
0.500 0.500 0.000 U
0.500 0.500 0.500 U
0.185 0.815 0.250 Ga
0.815 0.185 0.750 Ga
0.137 0.256 0.908 O
0.199 0.599 0.382 O
0.256 0.137 0.408 O
0.401 0.801 0.118 O
0.423 0.577 0.750 O
0.577 0.423 0.250 O
0.599 0.199 0.882 O
0.744 0.863 0.592 O
0.801 0.401 0.618 O
0.863 0.744 0.092 O
```

## Properties
Space group: C2/c, No. 15
ΔE_f (raw) in eV per formula unit: -20.0



Computed, not measured: a relaxed Cu12Ni7Rh crystal at the PBE-GGA level of DFT.

```
Cu12Ni7Rh
1.0
5.333 3.079 2.449
-5.333 3.079 2.449
0.000 -6.158 2.449
Cu Ni Rh
12 7 1
Direct
0.103 0.202 0.447 Cu
0.118 0.828 0.273 Cu
0.172 0.727 0.882 Cu
0.202 0.447 0.103 Cu
0.273 0.118 0.828 Cu
0.447 0.103 0.202 Cu
0.553 0.897 0.798 Cu
0.727 0.882 0.172 Cu
0.798 0.553 0.897 Cu
0.828 0.273 0.118 Cu
0.882 0.172 0.727 Cu
0.897 0.798 0.553 Cu
0.000 0.000 0.000 Ni
0.171 0.608 0.493 Ni
0.392 0.507 0.829 Ni
0.493 0.171 0.608 Ni
0.507 0.829 0.392 Ni
0.608 0.493 0.171 Ni
0.829 0.392 0.507 Ni
0.500 0.500 0.500 Rh
```

## Properties
ΔH_f (0 K) in eV/atom: 0.13
Space group: R-3, No. 148



Computed, not measured: a relaxed ZrSi2As crystal at the PBE-GGA level of DFT.

```
ZrSi2As
1.0
5.918 0.000 0.000
0.000 8.191 0.000
0.000 0.000 2.878
Zr Si As
2 4 2
Direct
0.000 0.000 0.000 Zr
0.500 0.500 0.000 Zr
0.250 0.250 0.500 Si
0.250 0.750 0.500 Si
0.750 0.250 0.500 Si
0.750 0.750 0.500 Si
0.000 0.500 0.000 As
0.500 0.000 0.000 As
```

## Properties
Space group: Cmmm, No. 65
ΔE_f (raw) in eV per formula unit: -0.2



Computed, not measured: a relaxed CuNiPb crystal at the PBE-GGA level of DFT.

```
CuNiPb
1.0
7.798 0.000 0.000
0.000 3.629 0.000
-1.452 0.000 7.766
Cu Ni Pb
4 4 4
Direct
0.020 0.000 0.352 Cu
0.480 0.500 0.648 Cu
0.520 0.500 0.352 Cu
0.980 0.000 0.648 Cu
0.160 0.500 0.553 Ni
0.340 0.000 0.447 Ni
0.660 0.000 0.553 Ni
0.840 0.500 0.447 Ni
0.182 0.500 0.173 Pb
0.318 0.000 0.827 Pb
0.682 0.000 0.173 Pb
0.818 0.500 0.827 Pb
```

## Properties
ΔH_f (0 K) in eV/atom: 0.16
Space group: C2/m, No. 12